[1]
An optimized crystal structure of TlV3Sb. Source: the Alexandria database, functional PBE-GGA.

## Properties
Energy relative to the lowest polymorph listed for this composition, eV per atom: 0.0000
Formation energy without anion corrections, eV/atom: 1.214

```
data_TlV3Sb
_chemical_formula_sum 'Tl1 V3 Sb1'
_cell_length_a 4.9732
_cell_length_b 4.9732
_cell_length_c 4.9732
_cell_angle_alpha 90.00
_cell_angle_beta 90.00
_cell_angle_gamma 90.00
_space_group_name_H-M_alt 'P m -3 m'
_space_group_IT_number 221
_space_group_name_Hall '-P 4 2 3'
loop_
_atom_site_label
_atom_site_fract_x
_atom_site_fract_y
_atom_site_fract_z
Tl1 0.0000 0.0000 0.0000
V1 0.0000 0.5000 0.5000
Sb1 0.5000 0.5000 0.5000
```


[2]
An optimized crystal structure of Tl2VSb2. Source: the Alexandria database, functional PBE-GGA.

## Properties
Formation energy without anion corrections, eV/atom: 0.166

```
data_Tl2VSb2
_chemical_formula_sum 'Tl4 V2 Sb4'
_cell_length_a 7.1098
_cell_length_b 7.1098
_cell_length_c 5.7305
_cell_angle_alpha 90.00
_cell_angle_beta 90.00
_cell_angle_gamma 90.00
_space_group_name_H-M_alt 'P 4/m b m'
_space_group_IT_number 127
_space_group_name_Hall '-P 4 2ab'
loop_
_atom_site_label
_atom_site_fract_x
_atom_site_fract_y
_atom_site_fract_z
Tl1 0.1777 0.3223 0.0000
V1 0.0000 0.0000 0.5000
Sb1 0.1448 0.6448 0.5000
```


[3]
An optimized crystal structure of TlVSb3. Source: the Alexandria database, functional PBE-GGA.

## Properties
Energy relative to the lowest polymorph listed for this composition, eV per atom: 0.0000
Formation energy without anion corrections, eV/atom: 0.201

```
data_TlVSb3
_chemical_formula_sum 'Tl1 V1 Sb3'
_cell_length_a 5.2114
_cell_length_b 5.2114
_cell_length_c 5.2114
_cell_angle_alpha 90.00
_cell_angle_beta 90.00
_cell_angle_gamma 90.00
_space_group_name_H-M_alt 'P m -3 m'
_space_group_IT_number 221
_space_group_name_Hall '-P 4 2 3'
loop_
_atom_site_label
_atom_site_fract_x
_atom_site_fract_y
_atom_site_fract_z
Tl1 0.0000 0.0000 0.0000
V1 0.5000 0.5000 0.5000
Sb1 0.0000 0.5000 0.5000
```


[4]
An optimized crystal structure of TlVSb2. Source: the Alexandria database, functional PBE-GGA.

## Properties
Energy relative to the lowest polymorph listed for this composition, eV per atom: 0.0000
Formation energy without anion corrections, eV/atom: 0.053

```
data_TlVSb2
_chemical_formula_sum 'Tl1 V1 Sb2'
_cell_length_a 3.3968
_cell_length_b 3.3968
_cell_length_c 8.5229
_cell_angle_alpha 90.00
_cell_angle_beta 90.00
_cell_angle_gamma 90.00
_space_group_name_H-M_alt 'P 4/m m m'
_space_group_IT_number 123
_space_group_name_Hall '-P 4 2'
loop_
_atom_site_label
_atom_site_fract_x
_atom_site_fract_y
_atom_site_fract_z
Tl1 0.0000 0.0000 0.0000
V1 0.0000 0.0000 0.5000
Sb1 0.5000 0.5000 0.3127
```


[5]
An optimized crystal structure of TlVSb2. Source: the Alexandria database, functional PBE-GGA.

## Properties
Energy relative to the lowest polymorph listed for this composition, eV per atom: 0.0006
Formation energy without anion corrections, eV/atom: 0.053

```
data_TlVSb2
_chemical_formula_sum 'Tl3 V3 Sb6'
_cell_length_a 3.3626
_cell_length_b 3.3626
_cell_length_c 30.9257
_cell_angle_alpha 90.00
_cell_angle_beta 90.00
_cell_angle_gamma 120.00
_space_group_name_H-M_alt 'R -3 m'
_space_group_IT_number 166
_space_group_name_Hall '-R 3 2"'
loop_
_atom_site_label
_atom_site_fract_x
_atom_site_fract_y
_atom_site_fract_z
Tl1 0.0000 0.0000 0.0000
V1 0.0000 0.0000 0.5000
Sb1 0.0000 0.0000 0.2292
```


[6]
An optimized crystal structure of TlVSb2. Source: the Alexandria database, functional PBE-GGA.

## Properties
Energy relative to the lowest polymorph listed for this composition, eV per atom: 0.3449
Formation energy without anion corrections, eV/atom: 0.398

```
data_TlVSb2
_chemical_formula_sum 'Tl4 V4 Sb8'
_cell_length_a 7.3311
_cell_length_b 7.3311
_cell_length_c 7.3311
_cell_angle_alpha 90.00
_cell_angle_beta 90.00
_cell_angle_gamma 90.00
_space_group_name_H-M_alt 'F m -3 m'
_space_group_IT_number 225
_space_group_name_Hall '-F 4 2 3'
loop_
_atom_site_label
_atom_site_fract_x
_atom_site_fract_y
_atom_site_fract_z
Tl1 0.0000 0.0000 0.0000
V1 0.0000 0.0000 0.5000
Sb1 0.2500 0.2500 0.2500
```


[7]
An optimized crystal structure of TlVSb. Source: the Alexandria database, functional PBE-GGA.

## Properties
Energy relative to the lowest polymorph listed for this composition, eV per atom: 0.0000
Formation energy without anion corrections, eV/atom: 0.121

```
data_TlVSb
_chemical_formula_sum 'Tl2 V2 Sb2'
_cell_length_a 3.9702
_cell_length_b 3.9702
_cell_length_c 9.8419
_cell_angle_alpha 90.00
_cell_angle_beta 90.00
_cell_angle_gamma 90.00
_space_group_name_H-M_alt 'P 4/n m m'
_space_group_IT_number 129
loop_
_space_group_symop_operation_xyz
'x,y,z'
'-x,-y,-z'
'-y+1/2,x,z'
'y+1/2,-x,-z'
'-x+1/2,-y+1/2,z'
'x+1/2,y+1/2,-z'
'y,-x+1/2,z'
'-y,x+1/2,-z'
'x+1/2,-y,-z'
'-x+1/2,y,z'
'-y,-x,-z'
'y,x,z'
'-x,y+1/2,-z'
'x,-y+1/2,z'
'y+1/2,x+1/2,-z'
'-y+1/2,-x+1/2,z'
loop_
_atom_site_label
_atom_site_fract_x
_atom_site_fract_y
_atom_site_fract_z
Tl1 0.2500 0.2500 0.1465
V1 0.2500 0.7500 0.5000
Sb1 0.2500 0.2500 0.6885
```


[8]
An optimized crystal structure of TlSb3W. Source: the Alexandria database, functional PBE-GGA.

## Properties
Energy relative to the lowest polymorph listed for this composition, eV per atom: 0.0000
Formation energy without anion corrections, eV/atom: 0.505

```
data_TlSb3W
_chemical_formula_sum 'Tl1 Sb3 W1'
_cell_length_a 5.3369
_cell_length_b 5.3369
_cell_length_c 5.3369
_cell_angle_alpha 90.00
_cell_angle_beta 90.00
_cell_angle_gamma 90.00
_space_group_name_H-M_alt 'P m -3 m'
_space_group_IT_number 221
_space_group_name_Hall '-P 4 2 3'
loop_
_atom_site_label
_atom_site_fract_x
_atom_site_fract_y
_atom_site_fract_z
Tl1 0.0000 0.0000 0.0000
Sb1 0.0000 0.5000 0.5000
W1 0.5000 0.5000 0.5000
```


[9]
An optimized crystal structure of TlSb2W. Source: the Alexandria database, functional PBE-GGA.

## Properties
Energy relative to the lowest polymorph listed for this composition, eV per atom: 0.1511
Formation energy without anion corrections, eV/atom: 0.406

```
data_TlSb2W
_chemical_formula_sum 'Tl2 Sb4 W2'
_cell_length_a 3.3775
_cell_length_b 3.4125
_cell_length_c 18.6595
_cell_angle_alpha 90.00
_cell_angle_beta 90.00
_cell_angle_gamma 90.00
_space_group_name_H-M_alt 'I m m 2'
_space_group_IT_number 44
loop_
_space_group_symop_operation_xyz
'x,y,z'
'-x,-y,z'
'-x,y,z'
'x,-y,z'
'x+1/2,y+1/2,z+1/2'
'-x+1/2,-y+1/2,z+1/2'
'-x+1/2,y+1/2,z+1/2'
'x+1/2,-y+1/2,z+1/2'
loop_
_atom_site_label
_atom_site_fract_x
_atom_site_fract_y
_atom_site_fract_z
Tl1 0.0000 0.0000 0.0000
Sb1 0.0000 0.0000 0.6531
Sb2 0.0000 0.5000 0.3438
W1 0.0000 0.5000 0.7672
```


[10]
An optimized crystal structure of TlSb2W. Source: the Alexandria database, functional PBE-GGA.

## Properties
Energy relative to the lowest polymorph listed for this composition, eV per atom: 0.2072
Formation energy without anion corrections, eV/atom: 0.462

```
data_TlSb2W
_chemical_formula_sum 'Tl2 Sb4 W2'
_cell_length_a 3.6604
_cell_length_b 5.1917
_cell_length_c 10.6844
_cell_angle_alpha 90.00
_cell_angle_beta 90.00
_cell_angle_gamma 90.00
_space_group_name_H-M_alt 'C m m m'
_space_group_IT_number 65
_space_group_name_Hall '-C 2 2'
loop_
_atom_site_label
_atom_site_fract_x
_atom_site_fract_y
_atom_site_fract_z
Tl1 0.0000 0.0000 0.0000
Sb1 0.0000 0.5000 0.3037
W1 0.0000 0.0000 0.5000
```


[11]
An optimized crystal structure of TlSb2W. Source: the Alexandria database, functional PBE-GGA.

## Properties
Energy relative to the lowest polymorph listed for this composition, eV per atom: 0.0155
Formation energy without anion corrections, eV/atom: 0.271

```
data_TlSb2W
_chemical_formula_sum 'Tl1 Sb2 W1'
_cell_length_a 3.3536
_cell_length_b 3.3584
_cell_length_c 8.6619
_cell_angle_alpha 90.00
_cell_angle_beta 90.46
_cell_angle_gamma 90.00
_space_group_name_H-M_alt 'P 1 2/m 1'
_space_group_IT_number 10
loop_
_space_group_symop_operation_xyz
'x,y,z'
'-x,-y,-z'
'-x,y,-z'
'x,-y,z'
loop_
_atom_site_label
_atom_site_fract_x
_atom_site_fract_y
_atom_site_fract_z
Tl1 0.0000 0.0000 0.0000
Sb1 0.4969 0.5000 0.3099
W1 0.0000 0.0000 0.5000
```


[12]
An optimized crystal structure of TlSbW2. Source: the Alexandria database, functional PBE-GGA.

## Properties
Energy relative to the lowest polymorph listed for this composition, eV per atom: 0.5837
Formation energy without anion corrections, eV/atom: 1.028

```
data_TlSbW2
_chemical_formula_sum 'Tl4 Sb4 W8'
_cell_length_a 6.8100
_cell_length_b 6.8100
_cell_length_c 6.8100
_cell_angle_alpha 90.00
_cell_angle_beta 90.00
_cell_angle_gamma 90.00
_space_group_name_H-M_alt 'F -4 3 m'
_space_group_IT_number 216
_space_group_name_Hall 'F -4 2 3'
loop_
_atom_site_label
_atom_site_fract_x
_atom_site_fract_y
_atom_site_fract_z
Tl1 0.0000 0.0000 0.0000
Sb1 0.2500 0.2500 0.2500
W1 0.0000 0.0000 0.5000
W2 0.2500 0.2500 0.7500
```


[13]
An optimized crystal structure of TlSbW2. Source: the Alexandria database, functional PBE-GGA.

## Properties
Energy relative to the lowest polymorph listed for this composition, eV per atom: 0.5542
Formation energy without anion corrections, eV/atom: 0.999

```
data_TlSbW2
_chemical_formula_sum 'Tl1 Sb1 W2'
_cell_length_a 3.3346
_cell_length_b 3.3346
_cell_length_c 6.9739
_cell_angle_alpha 90.00
_cell_angle_beta 90.00
_cell_angle_gamma 90.00
_space_group_name_H-M_alt 'P 4/m m m'
_space_group_IT_number 123
_space_group_name_Hall '-P 4 2'
loop_
_atom_site_label
_atom_site_fract_x
_atom_site_fract_y
_atom_site_fract_z
Tl1 0.0000 0.0000 0.0000
Sb1 0.0000 0.0000 0.5000
W1 0.5000 0.5000 0.2888
```


[14]
An optimized crystal structure of TlSb2W. Source: the Alexandria database, functional PBE-GGA.

## Properties
Energy relative to the lowest polymorph listed for this composition, eV per atom: 0.4143
Formation energy without anion corrections, eV/atom: 0.669

```
data_TlSb2W
_chemical_formula_sum 'Tl2 Sb4 W2'
_cell_length_a 3.7660
_cell_length_b 4.8955
_cell_length_c 10.7999
_cell_angle_alpha 90.00
_cell_angle_beta 90.00
_cell_angle_gamma 90.00
_space_group_name_H-M_alt 'C m m 2'
_space_group_IT_number 35
loop_
_space_group_symop_operation_xyz
'x,y,z'
'-x,-y,z'
'-x,y,z'
'x,-y,z'
'x+1/2,y+1/2,z'
'-x+1/2,-y+1/2,z'
'-x+1/2,y+1/2,z'
'x+1/2,-y+1/2,z'
loop_
_atom_site_label
_atom_site_fract_x
_atom_site_fract_y
_atom_site_fract_z
Tl1 0.0000 0.0000 0.0000
Sb1 0.0000 0.0000 0.4121
Sb2 0.0000 0.5000 0.7316
W1 0.0000 0.5000 0.2245
```


[15]
An optimized crystal structure of TlSbW2. Source: the Alexandria database, functional PBE-GGA.

## Properties
Energy relative to the lowest polymorph listed for this composition, eV per atom: 0.5657
Formation energy without anion corrections, eV/atom: 1.010

```
data_TlSbW2
_chemical_formula_sum 'Tl1 Sb1 W2'
_cell_length_a 3.4212
_cell_length_b 4.6635
_cell_length_c 5.4308
_cell_angle_alpha 90.00
_cell_angle_beta 91.27
_cell_angle_gamma 90.00
_space_group_name_H-M_alt 'P 1 2/m 1'
_space_group_IT_number 10
loop_
_space_group_symop_operation_xyz
'x,y,z'
'-x,-y,-z'
'-x,y,-z'
'x,-y,z'
loop_
_atom_site_label
_atom_site_fract_x
_atom_site_fract_y
_atom_site_fract_z
Tl1 0.0000 0.0000 0.0000
Sb1 0.5000 0.0000 0.5000
W1 0.1945 0.5000 0.3136
```


[16]
An optimized crystal structure of TlSb2W. Source: the Alexandria database, functional PBE-GGA.

## Properties
Energy relative to the lowest polymorph listed for this composition, eV per atom: 0.3295
Formation energy without anion corrections, eV/atom: 0.585

```
data_TlSb2W
_chemical_formula_sum 'Tl1 Sb2 W1'
_cell_length_a 3.1107
_cell_length_b 4.4229
_cell_length_c 8.5510
_cell_angle_alpha 90.00
_cell_angle_beta 90.00
_cell_angle_gamma 90.00
_space_group_name_H-M_alt 'P m m 2'
_space_group_IT_number 25
loop_
_space_group_symop_operation_xyz
'x,y,z'
'-x,-y,z'
'-x,y,z'
'x,-y,z'
loop_
_atom_site_label
_atom_site_fract_x
_atom_site_fract_y
_atom_site_fract_z
Tl1 0.0000 0.0000 0.0000
Sb1 0.0000 0.0000 0.4039
Sb2 0.5000 0.5000 0.7532
W1 0.5000 0.5000 0.4406
```


[17]
An optimized crystal structure of TlSb2W. Source: the Alexandria database, functional PBE-GGA.

## Properties
Energy relative to the lowest polymorph listed for this composition, eV per atom: 0.3026
Formation energy without anion corrections, eV/atom: 0.558

```
data_TlSb2W
_chemical_formula_sum 'Tl2 Sb4 W2'
_cell_length_a 3.2444
_cell_length_b 4.9251
_cell_length_c 12.8376
_cell_angle_alpha 90.00
_cell_angle_beta 90.00
_cell_angle_gamma 90.00
_space_group_name_H-M_alt 'I m m m'
_space_group_IT_number 71
_space_group_name_Hall '-I 2 2'
loop_
_atom_site_label
_atom_site_fract_x
_atom_site_fract_y
_atom_site_fract_z
Tl1 0.0000 0.0000 0.0000
Sb1 0.0000 0.5000 0.1769
W1 0.0000 0.0000 0.5000
```


[18]
An optimized crystal structure of TlSb2W. Source: the Alexandria database, functional PBE-GGA.

## Properties
Energy relative to the lowest polymorph listed for this composition, eV per atom: 0.3465
Formation energy without anion corrections, eV/atom: 0.602

```
data_TlSb2W
_chemical_formula_sum 'Tl3 Sb6 W3'
_cell_length_a 3.3239
_cell_length_b 3.3239
_cell_length_c 29.9518
_cell_angle_alpha 90.00
_cell_angle_beta 90.00
_cell_angle_gamma 120.00
_space_group_name_H-M_alt 'R 3 m'
_space_group_IT_number 160
_space_group_name_Hall 'R 3 -2"'
loop_
_atom_site_label
_atom_site_fract_x
_atom_site_fract_y
_atom_site_fract_z
Tl1 0.0000 0.0000 0.0000
Sb1 0.0000 0.0000 0.5241
Sb2 0.0000 0.0000 0.7631
W1 0.0000 0.0000 0.2553
```


[19]
An optimized crystal structure of TlSb2W. Source: the Alexandria database, functional PBE-GGA.

## Properties
Energy relative to the lowest polymorph listed for this composition, eV per atom: 0.3783
Formation energy without anion corrections, eV/atom: 0.633

```
data_TlSb2W
_chemical_formula_sum 'Tl1 Sb2 W1'
_cell_length_a 3.3364
_cell_length_b 3.3364
_cell_length_c 8.4845
_cell_angle_alpha 90.00
_cell_angle_beta 90.00
_cell_angle_gamma 90.00
_space_group_name_H-M_alt 'P 4 m m'
_space_group_IT_number 99
loop_
_space_group_symop_operation_xyz
'x,y,z'
'-y,x,z'
'-x,-y,z'
'y,-x,z'
'-x,y,z'
'y,x,z'
'x,-y,z'
'-y,-x,z'
loop_
_atom_site_label
_atom_site_fract_x
_atom_site_fract_y
_atom_site_fract_z
Tl1 0.0000 0.0000 0.0000
Sb1 0.0000 0.0000 0.4091
Sb2 0.5000 0.5000 0.6969
W1 0.5000 0.5000 0.2353
```


[20]
An optimized crystal structure of TlSbW. Source: the Alexandria database, functional PBE-GGA.

## Properties
Energy relative to the lowest polymorph listed for this composition, eV per atom: 0.0884
Formation energy without anion corrections, eV/atom: 0.732

```
data_TlSbW
_chemical_formula_sum 'Tl2 Sb2 W2'
_cell_length_a 3.5717
_cell_length_b 3.5717
_cell_length_c 9.9992
_cell_angle_alpha 90.00
_cell_angle_beta 90.00
_cell_angle_gamma 90.00
_space_group_name_H-M_alt 'I 4 m m'
_space_group_IT_number 107
_space_group_name_Hall 'I 4 -2'
loop_
_atom_site_label
_atom_site_fract_x
_atom_site_fract_y
_atom_site_fract_z
Tl1 0.0000 0.0000 0.0000
Sb1 0.0000 0.0000 0.6941
W1 0.0000 0.0000 0.3199
```